Record 1
# RbBa2NaCd PBE-GGA optimized geometry
data_RbBa2NaCd
_chemical_formula_sum 'Rb1 Ba2 Na1 Cd1'
_space_group_name_H-M_alt 'P 4/m m m'
_space_group_IT_number 123
_space_group_name_Hall '-P 4 2'
_cell_length_a 6.757
_cell_length_b 6.757
_cell_length_c 7.013
_cell_angle_alpha 90.00
_cell_angle_beta 90.00
_cell_angle_gamma 90.00
loop_
_atom_site_label
_atom_site_type_symbol
_atom_site_fract_x
_atom_site_fract_y
_atom_site_fract_z
_atom_site_occupancy
Rb1 Rb 0.000 0.000 0.000 1
Ba1 Ba 0.000 0.500 0.500 1
Na1 Na 0.500 0.500 0.000 1
Cd1 Cd 0.000 0.000 0.500 1
# - ΔE to the lowest computed polymorph: 43 meV per atom

---

Record 2
# RbBa2NaCd PBE-GGA optimized geometry
data_RbBa2NaCd
_chemical_formula_sum 'Rb1 Ba2 Na1 Cd1'
_space_group_name_H-M_alt 'P 4/m m m'
_space_group_IT_number 123
_space_group_name_Hall '-P 4 2'
_cell_length_a 6.850
_cell_length_b 6.850
_cell_length_c 6.297
_cell_angle_alpha 90.00
_cell_angle_beta 90.00
_cell_angle_gamma 90.00
loop_
_atom_site_label
_atom_site_type_symbol
_atom_site_fract_x
_atom_site_fract_y
_atom_site_fract_z
_atom_site_occupancy
Rb1 Rb 0.000 0.000 0.000 1
Ba1 Ba 0.000 0.500 0.500 1
Na1 Na 0.500 0.500 0.000 1
Cd1 Cd 0.500 0.500 0.500 1
# - ΔE to the lowest computed polymorph: 0 meV per atom

---

Record 3
# Ba2NaCdRh PBE-GGA optimized geometry
data_Ba2NaCdRh
_chemical_formula_sum 'Ba2 Na1 Cd1 Rh1'
_space_group_name_H-M_alt 'P 4/m m m'
_space_group_IT_number 123
_space_group_name_Hall '-P 4 2'
_cell_length_a 5.902
_cell_length_b 5.902
_cell_length_c 5.563
_cell_angle_alpha 90.00
_cell_angle_beta 90.00
_cell_angle_gamma 90.00
loop_
_atom_site_label
_atom_site_type_symbol
_atom_site_fract_x
_atom_site_fract_y
_atom_site_fract_z
_atom_site_occupancy
Ba1 Ba 0.000 0.500 0.000 1
Na1 Na 0.000 0.000 0.500 1
Cd1 Cd 0.500 0.500 0.500 1
Rh1 Rh 0.000 0.000 0.000 1
# - ΔE to the lowest computed polymorph: 121 meV per atom

---

Values of formation enthalpy at 0 K, in order: 1.47; 0.48; -0.82, all in kcal/mol of atoms.